[1]
! PBE BaCu2P, relaxed; values from VASP
&SYSTEM
  ibrav = 0, nat = 4, ntyp = 3
/
ATOMIC_SPECIES
Cu 63.55 Cu.upf
P 30.97 P.upf
Ba 137.33 Ba.upf
ATOMIC_POSITIONS angstrom
Cu -3.392 0.445 2.713
Cu -5.247 0.688 4.197
P 0.473 0.732 3.454
Ba -1.371 -1.786 1.561
CELL_PARAMETERS angstrom
-1.035 2.896 4.197
-4.725 -2.141 0.410
4.861 -1.810 0.409
! Symmetry ... Immm (71)
! V ... 91 Å³/cell

---

[2]
! PBE BaCu6P4, relaxed; values from VASP
&SYSTEM
  ibrav = 0, nat = 11, ntyp = 3
/
ATOMIC_SPECIES
P 30.97 P.upf
Cu 63.55 Cu.upf
Ba 137.33 Ba.upf
ATOMIC_POSITIONS angstrom
P 1.324 -1.519 2.751
P 4.130 0.622 3.980
P 0.548 2.065 2.224
P 3.349 0.555 0.326
Cu -1.442 2.849 1.233
Cu 4.992 -0.099 1.885
Cu 2.320 0.621 2.469
Cu 0.813 3.202 -0.232
Cu -1.696 0.631 2.773
Cu 3.481 -1.648 3.695
Ba 0.000 0.000 0.000
CELL_PARAMETERS angstrom
-4.295 4.537 0.295
0.902 -3.274 5.251
5.920 1.867 -0.759
! Symmetry ... I-42m (121)
! Distance to the lowest polymorph of the same formula ... 187 meV/atom
! V ... 182 Å³/cell

---

[3]
! PBE BaCu3P3, relaxed; values from VASP
&SYSTEM
  ibrav = 0, nat = 14, ntyp = 3
/
ATOMIC_SPECIES
Cu 63.55 Cu.upf
P 30.97 P.upf
Ba 137.33 Ba.upf
ATOMIC_POSITIONS angstrom
Cu -2.782 -3.557 -3.683
Cu -5.821 0.241 -0.090
Cu -2.913 -4.497 2.290
Cu -2.681 -0.617 -2.343
Cu -1.038 -3.459 -0.130
Cu -3.191 -0.612 1.583
P -4.047 -1.661 -3.849
P -1.925 -2.508 1.750
P -3.568 0.334 -0.463
P -5.444 -0.705 1.956
P -1.416 -2.514 -2.176
P -2.026 -5.448 0.410
Ba -4.607 -3.125 -0.593
Ba 0.000 0.000 0.000
CELL_PARAMETERS angstrom
-5.262 1.705 -3.346
-0.202 -5.880 -2.679
-3.750 -2.077 4.839
! Symmetry ... Pm-3n (223)
! V ... 270 Å³/cell

---

[4]
! PBE BaCuP3, relaxed; values from VASP
&SYSTEM
  ibrav = 0, nat = 5, ntyp = 3
/
ATOMIC_SPECIES
Ba 137.33 Ba.upf
P 30.97 P.upf
Cu 63.55 Cu.upf
ATOMIC_POSITIONS angstrom
Ba 0.000 0.000 0.000
P -0.390 -1.482 -2.381
P -0.588 2.394 -1.394
P -2.743 -0.303 0.637
Cu -3.721 0.609 -3.138
CELL_PARAMETERS angstrom
-1.177 4.788 -2.787
-0.780 -2.964 -4.763
-5.485 -0.606 1.275
! Symmetry ... Pm-3m (221)
! Distance to the lowest polymorph of the same formula ... 1778 meV/atom
! V ... 182 Å³/cell

---

[5]
! PBE BaCu2P, relaxed; values from VASP
&SYSTEM
  ibrav = 0, nat = 4, ntyp = 3
/
ATOMIC_SPECIES
Cu 63.55 Cu.upf
P 30.97 P.upf
Ba 137.33 Ba.upf
ATOMIC_POSITIONS angstrom
Cu 4.641 4.790 0.000
Cu 2.978 -0.659 1.764
P 3.079 3.178 0.000
Ba 0.473 2.203 1.758
CELL_PARAMETERS angstrom
5.263 -0.016 0.006
-0.182 5.260 -0.006
-1.532 -3.599 3.521
! Symmetry ... Imm2 (44)
! V ... 97 Å³/cell

---

[6]
! PBE BaCu2P, relaxed; values from VASP
&SYSTEM
  ibrav = 0, nat = 4, ntyp = 3
/
ATOMIC_SPECIES
Cu 63.55 Cu.upf
Ba 137.33 Ba.upf
P 30.97 P.upf
ATOMIC_POSITIONS angstrom
Cu -0.416 -0.806 -0.798
Cu -0.201 -2.551 0.835
Ba -2.815 -4.681 0.683
P -2.198 -1.324 0.646
CELL_PARAMETERS angstrom
-3.779 0.709 1.254
-1.665 -3.204 -3.208
0.431 -3.510 3.284
! Symmetry ... Pmmm (47)
! V ... 94 Å³/cell

---

[7]
! PBE Ba2CuP, relaxed; values from VASP
&SYSTEM
  ibrav = 0, nat = 4, ntyp = 3
/
ATOMIC_SPECIES
Ba 137.33 Ba.upf
P 30.97 P.upf
Cu 63.55 Cu.upf
ATOMIC_POSITIONS angstrom
Ba 0.000 0.000 0.000
Ba 1.577 2.819 1.633
P 3.230 0.003 1.633
Cu 4.807 2.822 0.000
CELL_PARAMETERS angstrom
6.460 0.005 0.000
3.153 5.639 0.000
-4.807 -2.822 3.266
! Symmetry ... I-4m2 (119)
! V ... 119 Å³/cell

---

[8]
! PBE BaCu2P, relaxed; values from VASP
&SYSTEM
  ibrav = 0, nat = 4, ntyp = 3
/
ATOMIC_SPECIES
P 30.97 P.upf
Cu 63.55 Cu.upf
Ba 137.33 Ba.upf
ATOMIC_POSITIONS angstrom
P 1.685 1.684 1.753
Cu 0.000 0.000 2.933
Cu 0.000 0.000 0.572
Ba 1.685 1.684 5.258
CELL_PARAMETERS angstrom
3.370 0.000 0.000
0.000 3.367 0.000
0.000 0.000 7.011
! Symmetry ... P4/mmm (123)
! V ... 80 Å³/cell

---

[9]
! PBE BaCu3P, relaxed; values from VASP
&SYSTEM
  ibrav = 0, nat = 5, ntyp = 3
/
ATOMIC_SPECIES
Cu 63.55 Cu.upf
Ba 137.33 Ba.upf
P 30.97 P.upf
ATOMIC_POSITIONS angstrom
Cu 0.000 2.324 0.000
Cu 0.000 0.000 2.324
Cu 2.324 0.000 0.000
Ba 2.324 2.324 2.324
P 0.000 0.000 0.000
CELL_PARAMETERS angstrom
4.648 0.000 0.000
0.000 4.648 0.000
0.000 0.000 4.648
! Symmetry ... Pm-3m (221)
! Distance to the lowest polymorph of the same formula ... 0 meV/atom
! V ... 100 Å³/cell

---

[10]
! PBE BaCu5P2, relaxed; values from VASP
&SYSTEM
  ibrav = 0, nat = 8, ntyp = 3
/
ATOMIC_SPECIES
Cu 63.55 Cu.upf
P 30.97 P.upf
Ba 137.33 Ba.upf
ATOMIC_POSITIONS angstrom
Cu 2.025 2.707 6.736
Cu 3.235 2.914 3.082
Cu 2.781 0.944 4.453
Cu 2.479 4.677 5.365
Cu 0.713 2.811 4.274
P 1.289 1.466 2.533
P 3.971 4.155 7.285
Ba 0.000 0.000 0.000
CELL_PARAMETERS angstrom
3.835 0.000 1.269
1.341 5.540 2.375
0.084 0.081 6.174
! Symmetry ... Immm (71)
! V ... 130 Å³/cell

---

[11]
! PBE BaCu2P, relaxed; values from VASP
&SYSTEM
  ibrav = 0, nat = 4, ntyp = 3
/
ATOMIC_SPECIES
P 30.97 P.upf
Ba 137.33 Ba.upf
Cu 63.55 Cu.upf
ATOMIC_POSITIONS angstrom
P 0.000 0.000 2.856
Ba 1.701 1.701 5.200
Cu 1.701 1.701 1.889
Cu 0.000 0.000 0.592
CELL_PARAMETERS angstrom
3.403 0.000 0.000
0.000 3.403 0.000
0.000 0.000 7.025
! Symmetry ... P4mm (99)
! V ... 81 Å³/cell

---

[12]
! PBE BaCu2P, relaxed; values from VASP
&SYSTEM
  ibrav = 0, nat = 4, ntyp = 3
/
ATOMIC_SPECIES
Cu 63.55 Cu.upf
Ba 137.33 Ba.upf
P 30.97 P.upf
ATOMIC_POSITIONS angstrom
Cu 2.070 1.167 1.497
Cu 6.237 3.516 1.064
Ba 6.207 3.499 4.305
P 4.149 2.339 1.937
CELL_PARAMETERS angstrom
4.142 -0.047 0.045
2.105 3.568 0.045
2.032 1.145 5.717
! Symmetry ... Cm (8)
! V ... 85 Å³/cell

---

Number 1: DFT formation energy -0.067 eV per atom, theoretical density 5.386 g/cm3. Number 2: DFT formation energy -0.096 eV per atom, theoretical density 5.868 g/cm3. Number 3: DFT formation energy -0.376 eV per atom, theoretical density 5.174 g/cm3. Number 4: DFT formation energy 1.813 eV per atom, theoretical density 2.685 g/cm3. Number 5: DFT formation energy -0.148 eV per atom, theoretical density 5.035 g/cm3. Number 6: DFT formation energy -0.305 eV per atom, theoretical density 5.204 g/cm3. Number 7: DFT formation energy -0.248 eV per atom, theoretical density 5.155 g/cm3. Number 8: DFT formation energy 0.259 eV per atom, theoretical density 6.165 g/cm3. Number 9: DFT formation energy 0.020 eV per atom, theoretical density 5.935 g/cm3. Number 10: DFT formation energy -0.258 eV per atom, theoretical density 6.606 g/cm3. Number 11: DFT formation energy 0.067 eV per atom, theoretical density 6.031 g/cm3. Number 12: DFT formation energy -0.311 eV per atom, theoretical density 5.798 g/cm3.